# 1
# ZrZnSe2N (PBE-GGA, relaxed)
# offset from the most stable computed form: 0.0000 eV/atom
# crystal system: tetragonal
# DOS at the Fermi energy: 3.2 states/eV/f.u.
# DFT total energy: -5.022 eV/atom
# uncorrected formation energy: 0.0010 eV per atom
data_ZrZnSe2N
_chemical_formula_sum 'Zr1 Zn1 Se2 N1'
_space_group_name_H-M_alt 'P 4/m m m'
_space_group_IT_number 123
_space_group_name_Hall '-P 4 2'
_cell_length_a 5.3407
_cell_length_b 5.3407
_cell_length_c 4.0953
_cell_angle_alpha 90.00
_cell_angle_beta 90.00
_cell_angle_gamma 90.00
loop_
_atom_site_label
_atom_site_fract_x
_atom_site_fract_y
_atom_site_fract_z
_atom_site_occupancy
Zr1 0.0000 0.0000 0.0000 1
Zn1 0.5000 0.5000 0.5000 1
Se1 0.0000 0.5000 0.0000 1
N1 0.0000 0.0000 0.5000 1

***

# 2
# LaMnMo (PBE-GGA, relaxed)
# offset from the most stable computed form: 1.1382 eV/atom
# crystal system: cubic
# DOS at the Fermi energy: 3.9 states/eV/f.u.
# DFT total energy: -6.811 eV/atom
# formation energy: 1.4982 eV per atom
data_LaMnMo
_chemical_formula_sum 'La4 Mn4 Mo4'
_space_group_name_H-M_alt 'F -4 3 m'
_space_group_IT_number 216
_space_group_name_Hall 'F -4 2 3'
_cell_length_a 6.5745
_cell_length_b 6.5745
_cell_length_c 6.5745
_cell_angle_alpha 90.00
_cell_angle_beta 90.00
_cell_angle_gamma 90.00
loop_
_atom_site_label
_atom_site_fract_x
_atom_site_fract_y
_atom_site_fract_z
_atom_site_occupancy
La1 0.0000 0.0000 0.0000 1
Mn1 0.2500 0.2500 0.2500 1
Mo1 0.2500 0.2500 0.7500 1

***

# 3
# Sm6MgCd2 (PBE-GGA, relaxed)
# crystal system: monoclinic
# DOS at the Fermi energy: 11.7 states/eV/f.u.
# DFT total energy: -3.520 eV/atom
# formation energy: 0.0065 eV per atom
data_Sm6MgCd2
_chemical_formula_sum 'Sm12 Mg2 Cd4'
_space_group_name_H-M_alt 'C 1 2/m 1'
_space_group_IT_number 12
_space_group_name_Hall '-C 2y'
_cell_length_a 15.7299
_cell_length_b 3.5123
_cell_length_c 11.7618
_cell_angle_alpha 90.00
_cell_angle_beta 120.71
_cell_angle_gamma 90.00
loop_
_atom_site_label
_atom_site_fract_x
_atom_site_fract_y
_atom_site_fract_z
_atom_site_occupancy
Sm1 0.0396 0.0000 0.2435 1
Sm2 0.1364 0.5000 0.0514 1
Sm3 0.2321 0.0000 0.6152 1
Mg1 0.0000 0.0000 0.5000 1
Cd1 0.1465 0.5000 0.7744 1

***

# 4
# BeSb2Br (PBE-GGA, relaxed)
# offset from the most stable computed form: 0.6135 eV/atom
# crystal system: cubic
# DOS at the Fermi energy: 1.1 states/eV/f.u.
# DFT total energy: -2.871 eV/atom
# uncorrected formation energy: 0.5403 eV per atom
data_BeSb2Br
_chemical_formula_sum 'Be4 Sb8 Br4'
_space_group_name_H-M_alt 'F -4 3 m'
_space_group_IT_number 216
_space_group_name_Hall 'F -4 2 3'
_cell_length_a 7.2031
_cell_length_b 7.2031
_cell_length_c 7.2031
_cell_angle_alpha 90.00
_cell_angle_beta 90.00
_cell_angle_gamma 90.00
loop_
_atom_site_label
_atom_site_fract_x
_atom_site_fract_y
_atom_site_fract_z
_atom_site_occupancy
Be1 0.0000 0.0000 0.0000 1
Sb1 0.0000 0.0000 0.5000 1
Sb2 0.2500 0.2500 0.2500 1
Br1 0.2500 0.2500 0.7500 1

***

# 5
# AgMo2Ru (PBE-GGA, relaxed)
# offset from the most stable computed form: 0.1713 eV/atom
# crystal system: tetragonal
# DOS at the Fermi energy: 4.2 states/eV/f.u.
# DFT total energy: -7.996 eV/atom
# formation energy: 0.4508 eV per atom
data_AgMo2Ru
_chemical_formula_sum 'Ag2 Mo4 Ru2'
_space_group_name_H-M_alt 'I -4 m 2'
_space_group_IT_number 119
_space_group_name_Hall 'I -4 -2'
_cell_length_a 3.9961
_cell_length_b 3.9961
_cell_length_c 7.8249
_cell_angle_alpha 90.00
_cell_angle_beta 90.00
_cell_angle_gamma 90.00
loop_
_atom_site_label
_atom_site_fract_x
_atom_site_fract_y
_atom_site_fract_z
_atom_site_occupancy
Ag1 0.0000 0.0000 0.0000 1
Mo1 0.0000 0.0000 0.5000 1
Mo2 0.0000 0.5000 0.7500 1
Ru1 0.0000 0.5000 0.2500 1

***

# 6
# ScCoNi2C (PBE-GGA, relaxed)
# crystal system: tetragonal
# DOS at the Fermi energy: 2.9 states/eV/f.u.
# DFT total energy: -7.097 eV/atom
# formation energy: -0.2519 eV per atom
data_ScCoNi2C
_chemical_formula_sum 'Sc1 Co1 Ni2 C1'
_space_group_name_H-M_alt 'P 4/m m m'
_space_group_IT_number 123
_space_group_name_Hall '-P 4 2'
_cell_length_a 3.8673
_cell_length_b 3.8673
_cell_length_c 3.8340
_cell_angle_alpha 90.00
_cell_angle_beta 90.00
_cell_angle_gamma 90.00
loop_
_atom_site_label
_atom_site_fract_x
_atom_site_fract_y
_atom_site_fract_z
_atom_site_occupancy
Sc1 0.0000 0.0000 0.0000 1
Co1 0.5000 0.5000 0.0000 1
Ni1 0.0000 0.5000 0.5000 1
C1 0.5000 0.5000 0.5000 1

***

# 7
# Pm4ErIn (PBE-GGA, relaxed)
# offset from the most stable computed form: 0.0000 eV/atom
# crystal system: orthorhombic
# DOS at the Fermi energy: 8.5 states/eV/f.u.
# DFT total energy: -4.444 eV/atom
# formation energy: -0.0597 eV per atom
data_Pm4ErIn
_chemical_formula_sum 'Pm16 Er4 In4'
_space_group_name_H-M_alt 'C m c m'
_space_group_IT_number 63
_space_group_name_Hall '-C 2c 2'
_cell_length_a 3.5809
_cell_length_b 30.9100
_cell_length_c 6.8969
_cell_angle_alpha 90.00
_cell_angle_beta 90.00
_cell_angle_gamma 90.00
loop_
_atom_site_label
_atom_site_fract_x
_atom_site_fract_y
_atom_site_fract_z
_atom_site_occupancy
Pm1 0.0000 0.0000 0.0000 1
Pm2 0.0000 0.1592 0.0057 1
Pm3 0.0000 0.4179 0.2500 1
Er1 0.0000 0.2570 0.2500 1
In1 0.0000 0.4205 0.7500 1

***

# 8
# HfBe9Nb2 (PBE-GGA, relaxed)
# offset from the most stable computed form: 0.0069 eV/atom
# crystal system: hexagonal
# DOS at the Fermi energy: 4.6 states/eV/f.u.
# DFT total energy: -5.544 eV/atom
# formation energy: -0.2411 eV per atom
data_HfBe9Nb2
_chemical_formula_sum 'Hf2 Be18 Nb4'
_space_group_name_H-M_alt 'P 63/m m c'
_space_group_IT_number 194
_space_group_name_Hall '-P 6c 2c'
_cell_length_a 4.6118
_cell_length_b 4.6118
_cell_length_c 14.2270
_cell_angle_alpha 90.00
_cell_angle_beta 90.00
_cell_angle_gamma 120.00
loop_
_atom_site_label
_atom_site_fract_x
_atom_site_fract_y
_atom_site_fract_z
_atom_site_occupancy
Hf1 0.3333 0.6667 0.2500 1
Be1 0.0000 0.0000 0.0000 1
Be2 0.0000 0.0000 0.2500 1
Be3 0.1689 0.3378 0.6267 1
Be4 0.3333 0.6667 0.7500 1
Nb1 0.3333 0.6667 0.0370 1

***

no.,magnetization (Bohr magnetons per cell)
1,0.980
2,4.543
3,0.000
4,0.000
5,0.000
6,1.054
7,0.000
8,0.000